No. 1
# LiAc2PmSe5 PBE-GGA optimized geometry
# density: 6.66 g/cm3
# M_tot: 0.000 μB/f.u.
data_LiAc2PmSe5
_space_group_name_H-M_alt 'C m c 21'
_space_group_IT_number 36
_cell_length_a 4.338
_cell_length_b 17.897
_cell_length_c 12.855
_cell_angle_alpha 90.00
_cell_angle_beta 90.00
_cell_angle_gamma 90.00
loop_
_space_group_symop_operation_xyz
'x,y,z'
'-x,-y,z+1/2'
'-x,y,z'
'x,-y,z+1/2'
'x+1/2,y+1/2,z'
'-x+1/2,-y+1/2,z+1/2'
'-x+1/2,y+1/2,z'
'x+1/2,-y+1/2,z+1/2'
loop_
_atom_site_label
_atom_site_fract_x
_atom_site_fract_y
_atom_site_fract_z
Li1 0.000 0.016 0.000
Ac1 0.000 0.376 0.819
Ac2 0.000 0.390 0.204
Pm1 0.000 0.304 0.521
Se1 0.000 0.001 0.804
Se2 0.000 0.138 0.518
Se3 0.000 0.193 0.865
Se4 0.000 0.211 0.178
Se5 0.000 0.455 0.585

=====

No. 2
# LiAc3Pm3Se8 PBE-GGA optimized geometry
# density: 6.50 g/cm3
# M_tot: 0.000 μB/f.u.
# DOS at the Fermi energy: 13.9 states/eV/cell
data_LiAc3Pm3Se8
_space_group_name_H-M_alt 'R -3 m'
_space_group_IT_number 166
_space_group_name_Hall '-R 3 2"'
_cell_length_a 8.5399
_cell_length_b 8.5399
_cell_length_c 21.2992
_cell_angle_alpha 90.00
_cell_angle_beta 90.00
_cell_angle_gamma 120.00
loop_
_atom_site_label
_atom_site_fract_x
_atom_site_fract_y
_atom_site_fract_z
Li1 0.0000 0.0000 0.0000
Ac1 0.0000 0.5000 0.5000
Pm1 0.0000 0.5000 0.0000
Se1 0.0000 0.0000 0.2560
Se2 0.0030 0.5015 0.7437

=====

No. 3
# LiAc3Pm2Se6 PBE-GGA optimized geometry
# density: 7.10 g/cm3
# M_tot: 0.000 μB/f.u.
# DOS at the Fermi energy: 11.3 states/eV/cell
data_LiAc3Pm2Se6
_space_group_name_H-M_alt 'C 1 2/m 1'
_space_group_IT_number 12
_cell_length_a 7.477
_cell_length_b 12.997
_cell_length_c 7.428
_cell_angle_alpha 90.00
_cell_angle_beta 109.81
_cell_angle_gamma 90.00
loop_
_space_group_symop_operation_xyz
'x,y,z'
'-x,-y,-z'
'-x,y,-z'
'x,-y,z'
'x+1/2,y+1/2,z'
'-x+1/2,-y+1/2,-z'
'-x+1/2,y+1/2,-z'
'x+1/2,-y+1/2,z'
loop_
_atom_site_label
_atom_site_fract_x
_atom_site_fract_y
_atom_site_fract_z
Li1 0.000 0.000 0.000
Ac1 0.000 0.168 0.500
Ac2 0.000 0.500 0.500
Pm1 0.000 0.334 0.000
Se1 0.237 0.162 0.227
Se2 0.247 0.000 0.772

=====

| no. | E (eV/cell) | uncorrected formation energy (kJ per mole of atoms) |
| --- | --- | --- |
| 1 | -196.25 | -179.7 |
| 2 | -251.38 | -176.4 |
| 3 | -132.37 | -173.2 |